First-principles (PBE) data for crystalline KMo2Os at its relaxed geometry, as listed in Alexandria via LeMat-Bulk.

POSCAR file:
```
KMo2Os
1.0
1.5605 -2.2824 0.0000
1.5605 2.2824 0.0000
0.0000 0.0000 10.3695
K Mo Os
1 2 1
direct
0.0000 0.0000 0.0000
0.0000 0.0000 0.5171
0.5000 0.5000 0.3085
0.5000 0.5000 0.7228
```

Computed properties:
DFT formation energy = 3.14 eV/f.u.
Energy above the lowest structure with this stoichiometry = 0.010 eV per atom
Space group = Cmm2 (35)
Magnetic moment = 0.0 Bohr magnetons per cell